[1]
A plane-wave DFT calculation with PBE was carried out for a geometry-optimized HoFe4Os structure.

```
6
Lattice="4.9416 0.0000 0.0000 2.4708 4.2796 0.0000 2.4708 1.4265 4.0348" Properties=species:S:1:pos:R:3 pbc="T T T"
Fe 3.6989 3.5705 2.5247
Fe 4.9416 1.4181 2.5247
Fe 6.1843 3.5705 2.5247
Ho 2.4708 1.4265 1.0087
Fe 4.9416 2.8530 0.4954
Os 0.0000 0.0000 0.0000
```

Values from the calculation:
**DFT formation energy**: 0.3 eV per formula unit
**Raw total energy**: -8.2210 eV/atom
**Fermi-level density of states**: 6.41 states/eV/f.u.



[2]
A plane-wave DFT calculation with PBE was carried out for a geometry-optimized HoFeOs structure.

```
6
Lattice="-3.3156 -0.9952 3.9685 1.8693 -3.9138 -2.9868 4.9512 1.5030 0.9798" Properties=species:S:1:pos:R:3 pbc="T T T"
Fe 0.8178 0.2539 2.4742
Os 1.7524 -1.7030 0.9808
Ho -0.2452 -3.9785 0.4893
Fe 3.4102 -1.2054 -1.0035
Ho 3.7501 0.5724 1.4723
Os 0.9347 -1.9569 -1.4934
```

Values from the calculation:
**DFT formation energy**: -0.8 eV per formula unit
**Raw total energy**: -8.3481 eV/atom
**Fermi-level density of states**: 2.21 states/eV/f.u.



[3]
A plane-wave DFT calculation with PBE was carried out for a geometry-optimized HoFeOs structure.

```
12
Lattice="5.1362 0.0000 0.0000 0.0000 4.2174 0.0000 0.0000 0.0000 10.0107" Properties=species:S:1:pos:R:3 pbc="T T T"
Ho 1.2840 2.1094 2.1124
Ho 3.8521 0.0007 2.8930
Ho 1.2840 4.2167 7.1178
Os 2.5681 0.0000 0.0000
Ho 3.8521 2.1080 7.8983
Fe 3.8521 4.2173 5.6196
Os 2.5681 2.1087 5.0054
Fe 1.2840 2.1086 9.3965
Fe 1.2840 0.0001 4.3911
Os 0.0000 2.1087 5.0054
Os 0.0000 0.0000 0.0000
Fe 3.8521 2.1088 0.6142
```

Values from the calculation:
**DFT formation energy**: -0.3 eV per formula unit
**Raw total energy**: -8.2053 eV/atom
**Fermi-level density of states**: 2.33 states/eV/f.u.



[4]
A plane-wave DFT calculation with PBE was carried out for a geometry-optimized Ho2FeOs3 structure.

```
6
Lattice="-3.4929 -1.6382 3.6839 2.6527 -3.5686 -2.9468 4.5622 2.1910 1.4401" Properties=species:S:1:pos:R:3 pbc="T T T"
Fe 0.0000 0.0000 0.0000
Os 0.5346 0.2764 2.5620
Os 1.8610 -1.5079 1.0886
Os 2.2811 1.0955 0.7200
Ho 4.7680 -0.7226 0.3310
Ho -1.0461 -2.2932 1.8462
```

Values from the calculation:
**DFT formation energy**: -1.8 eV per formula unit
**Raw total energy**: -8.8451 eV/atom
**Fermi-level density of states**: 5.20 states/eV/f.u.



Question: The lowest raw total energy belongs to which entry?
Answer: Ho2FeOs3